Here is an optimized crystal structure of MnPdF2 from Alexandria via LeMat-Bulk. Energies are from GGA+U.

Calculated density in Mg/m³: 6.40
E above lowest polymorph in meV per atom: 389
Raw total energy in eV per cell: -82.3
Crystal system: cubic
Spin magnetization in Bohr magnetons per cell: 20.611

Cell lengths 5.9160, 5.9160, 5.9160 Å; angles 90.00, 90.00, 90.00 degrees
Positions (direct):
Mn1 0.0000 0.0000 0.0000
Mn2 0.0000 0.5000 0.5000
Mn3 0.5000 0.0000 0.5000
Mn4 0.5000 0.5000 0.0000
Pd1 0.0000 0.0000 0.5000
Pd2 0.0000 0.5000 0.0000
Pd3 0.5000 0.0000 0.0000
Pd4 0.5000 0.5000 0.5000
F1 0.2500 0.2500 0.2500
F2 0.2500 0.2500 0.7500
F3 0.2500 0.7500 0.2500
F4 0.2500 0.7500 0.7500
F5 0.7500 0.2500 0.2500
F6 0.7500 0.2500 0.7500
F7 0.7500 0.7500 0.2500
F8 0.7500 0.7500 0.7500